[1]
Material: SrAlAgF6
Method: DFT, PBE
State: optimized geometry Values from VASP.

Summary:
formation energy without anion corrections: -3.08 eV/atom
calculated volume: 268.3 Å³/cell

The structure in Quantum ESPRESSO input format:
```
&SYSTEM
  ibrav = 0, nat = 18, ntyp = 4
/
ATOMIC_SPECIES
F 19.00 F.upf
Sr 87.62 Sr.upf
Ag 107.87 Ag.upf
Al 26.98 Al.upf
CELL_PARAMETERS angstrom
5.938 0.000 0.000
-2.969 5.142 0.000
0.000 0.000 8.789
ATOMIC_POSITIONS angstrom
F 3.733 3.033 3.222
F 1.524 3.426 5.567
F 4.493 1.716 1.172
F -0.760 4.749 5.567
F -0.764 2.109 5.567
F 3.729 0.393 3.222
F 0.764 2.109 7.617
F 2.208 0.393 1.172
F 0.760 4.749 7.617
F 2.205 3.033 1.172
F 1.444 1.716 3.222
F -1.524 3.426 7.617
Sr 2.969 1.714 6.592
Sr 0.000 3.428 2.197
Ag 0.000 0.000 4.394
Ag 0.000 0.000 0.000
Al 2.969 1.714 2.197
Al 0.000 3.428 6.592
```

***

[2]
Material: La4PrNd2Au2
Method: DFT, PBE
State: optimized geometry Values from VASP.

Summary:
formation energy: -0.247 eV per atom
calculated volume: 292.0 Å³/cell

The structure in Quantum ESPRESSO input format:
```
&SYSTEM
  ibrav = 0, nat = 9, ntyp = 4
/
ATOMIC_SPECIES
Pr 140.91 Pr.upf
Nd 144.24 Nd.upf
Au 196.97 Au.upf
La 138.91 La.upf
CELL_PARAMETERS angstrom
6.295 1.082 0.630
0.236 8.140 1.202
-2.860 -3.696 4.974
ATOMIC_POSITIONS angstrom
Pr 0.000 0.000 0.000
Nd 0.053 5.131 3.359
Nd 3.618 0.395 3.447
Au -1.765 1.518 5.394
Au 5.437 4.009 1.412
La 0.450 1.424 3.210
La 3.222 4.102 3.595
La -0.125 -1.264 5.397
La 3.797 6.790 1.409
```

***

[3]
Material: DyScTi
Method: DFT, PBE
State: optimized geometry Values from VASP.

Summary:
formation energy: 0.176 eV per atom
relative energy among the computed polymorphs: 0 meV per atom
calculated volume: 72.1 Å³/cell

The structure in Quantum ESPRESSO input format:
```
&SYSTEM
  ibrav = 0, nat = 3, ntyp = 3
/
ATOMIC_SPECIES
Dy 162.50 Dy.upf
Sc 44.96 Sc.upf
Ti 47.87 Ti.upf
CELL_PARAMETERS angstrom
3.206 0.000 0.000
0.000 5.095 0.000
0.000 -2.548 4.413
ATOMIC_POSITIONS angstrom
Dy 2.137 2.548 1.471
Sc 0.535 0.000 0.000
Ti 0.533 0.000 2.942
```

***

[4]
Material: KLiZr2
Method: DFT, PBE
State: optimized geometry Values from VASP.

Summary:
formation energy: 0.563 eV per atom
relative energy among the computed polymorphs: 251 meV per atom
calculated volume: 120.1 Å³/cell

The structure in Quantum ESPRESSO input format:
```
&SYSTEM
  ibrav = 0, nat = 4, ntyp = 3
/
ATOMIC_SPECIES
K 39.10 K.upf
Zr 91.22 Zr.upf
Li 6.94 Li.upf
CELL_PARAMETERS angstrom
-4.940 2.075 0.723
-5.342 -0.776 -0.301
-0.622 -2.482 7.159
ATOMIC_POSITIONS angstrom
K -5.468 -0.563 3.719
Zr -8.074 -1.162 6.412
Zr -0.664 -2.397 6.938
Li -2.773 -0.133 1.461
```

***

[5]
Material: Cs2PaNiS5
Method: DFT, PBE
State: optimized geometry Values from VASP.

Summary:
formation energy without anion corrections: -1.09 eV/atom
calculated volume: 614.9 Å³/cell

The structure in Quantum ESPRESSO input format:
```
&SYSTEM
  ibrav = 0, nat = 18, ntyp = 4
/
ATOMIC_SPECIES
Cs 132.91 Cs.upf
S 32.06 S.upf
Pa 231.04 Pa.upf
Ni 58.69 Ni.upf
CELL_PARAMETERS angstrom
-0.950 -3.019 2.552
2.235 -5.426 -8.823
13.924 -0.922 4.095
ATOMIC_POSITIONS angstrom
Cs 5.145 -2.054 -0.513
Cs 12.507 -7.475 -0.944
Cs 3.574 -6.813 -3.489
Cs 10.171 -2.456 0.882
S 6.172 -7.041 -6.029
S 7.371 -4.476 0.689
S 6.639 -4.552 -2.912
S 12.763 -5.092 1.969
S 7.592 -7.843 -3.211
S 13.795 -1.932 2.851
S 1.381 -4.463 -4.764
S 10.030 -4.904 -2.065
S 2.164 -4.263 -0.997
S 10.994 -2.455 4.429
Pa 1.032 -2.811 -2.941
Pa 7.863 -6.137 -1.092
Ni 7.191 -6.063 -4.492
Ni 12.554 -3.604 3.650
```

***

[6]
Material: PrGaNiPt3
Method: DFT, PBE
State: optimized geometry Values from VASP.

Summary:
formation energy: -0.544 eV per atom
calculated volume: 225.0 Å³/cell

The structure in Quantum ESPRESSO input format:
```
&SYSTEM
  ibrav = 0, nat = 12, ntyp = 4
/
ATOMIC_SPECIES
Pt 195.08 Pt.upf
Ni 58.69 Ni.upf
Ga 69.72 Ga.upf
Pr 140.91 Pr.upf
CELL_PARAMETERS angstrom
-2.798 -2.513 4.230
5.849 -1.381 3.049
-3.206 5.835 1.346
ATOMIC_POSITIONS angstrom
Pt 1.704 -0.402 0.888
Pt -0.790 1.030 1.983
Pt 2.746 -2.235 4.276
Pt 0.635 0.911 6.642
Pt 4.145 -0.979 2.161
Pt 0.305 -1.659 3.003
Ni 1.974 3.267 5.141
Ni -2.129 -1.327 3.484
Ga 0.751 -1.197 5.466
Ga -0.906 3.138 3.159
Pr 2.100 0.957 3.852
Pr -2.256 0.984 4.773
```

***

[7]
Material: K3SmY2S6
Method: DFT, PBE
State: optimized geometry Values from VASP.

Summary:
formation energy without anion corrections: -1.88 eV/atom
calculated volume: 319.9 Å³/cell

The structure in Quantum ESPRESSO input format:
```
&SYSTEM
  ibrav = 0, nat = 12, ntyp = 4
/
ATOMIC_SPECIES
S 32.06 S.upf
K 39.10 K.upf
Y 88.91 Y.upf
Sm 150.36 Sm.upf
CELL_PARAMETERS angstrom
7.076 -0.001 0.000
-3.537 6.128 0.000
-1.180 -2.043 7.378
ATOMIC_POSITIONS angstrom
S 3.555 2.012 5.878
S -1.196 2.073 1.500
S 0.017 0.029 5.878
S 2.393 0.000 1.500
S -0.034 4.084 5.878
S 2.342 4.055 1.500
K 1.179 2.042 3.689
K 4.722 -0.004 3.689
K -2.363 4.088 3.689
Y 3.539 2.042 0.000
Y 0.000 4.086 0.000
Sm 0.000 0.000 0.000
```

***

[8]
Material: ReTcRh3
Method: DFT, PBE
State: optimized geometry Values from VASP.

Summary:
formation energy: 1.569 eV per atom
relative energy among the computed polymorphs: 1643 meV per atom
calculated volume: 102.2 Å³/cell

The structure in Quantum ESPRESSO input format:
```
&SYSTEM
  ibrav = 0, nat = 5, ntyp = 3
/
ATOMIC_SPECIES
Re 186.21 Re.upf
Rh 102.91 Rh.upf
Tc 98.00 Tc.upf
CELL_PARAMETERS angstrom
4.675 0.000 0.000
0.000 4.675 0.000
0.000 0.000 4.675
ATOMIC_POSITIONS angstrom
Re 0.000 0.000 0.000
Rh 0.000 0.000 2.337
Rh 2.337 0.000 0.000
Rh 0.000 2.337 0.000
Tc 2.337 2.337 2.337
```

***

[9]
Material: LuHfMg
Method: DFT, PBE
State: optimized geometry Values from VASP.

Summary:
formation energy: 0.019 eV per atom
relative energy among the computed polymorphs: 0 meV per atom
calculated volume: 73.7 Å³/cell

The structure in Quantum ESPRESSO input format:
```
&SYSTEM
  ibrav = 0, nat = 3, ntyp = 3
/
ATOMIC_SPECIES
Mg 24.30 Mg.upf
Lu 174.97 Lu.upf
Hf 178.49 Hf.upf
CELL_PARAMETERS angstrom
-2.651 -1.745 -0.891
1.656 -2.797 0.551
-1.658 2.262 6.603
ATOMIC_POSITIONS angstrom
Mg -1.245 -2.274 2.061
Lu -2.623 -2.280 6.173
Hf -1.438 -0.006 4.291
```

***

[10]
Material: PrDyErZn
Method: DFT, PBE
State: optimized geometry Values from VASP.

Summary:
formation energy: 0.037 eV per atom
relative energy among the computed polymorphs: 201 meV per atom
calculated volume: 110.9 Å³/cell

The structure in Quantum ESPRESSO input format:
```
&SYSTEM
  ibrav = 0, nat = 4, ntyp = 4
/
ATOMIC_SPECIES
Dy 162.50 Dy.upf
Zn 65.41 Zn.upf
Er 167.26 Er.upf
Pr 140.91 Pr.upf
CELL_PARAMETERS angstrom
-1.297 5.179 0.762
-4.104 2.182 -2.734
-4.567 1.287 2.564
ATOMIC_POSITIONS angstrom
Dy -7.475 6.486 0.443
Zn 0.000 0.000 0.000
Er -4.984 4.324 0.296
Pr -2.492 2.162 0.148
```

***

[11]
Material: Sc2CO
Method: DFT, PBE
State: optimized geometry Values from VASP.

Summary:
relative energy among the computed polymorphs: 10 meV per atom
formation energy without anion corrections: -1.90 eV/atom
calculated volume: 48.5 Å³/cell

The structure in Quantum ESPRESSO input format:
```
&SYSTEM
  ibrav = 0, nat = 4, ntyp = 3
/
ATOMIC_SPECIES
Sc 44.96 Sc.upf
O 16.00 O.upf
C 12.01 C.upf
CELL_PARAMETERS angstrom
-4.232 0.815 -3.621
-4.947 -1.867 -1.932
-5.491 1.062 -0.636
ATOMIC_POSITIONS angstrom
Sc -11.056 0.008 -4.665
Sc -3.614 0.003 -1.525
O 0.000 0.000 0.000
C -7.335 0.005 -3.095
```

***

[12]
Material: CeDy2Os2
Method: DFT, PBE
State: optimized geometry Values from VASP.

Summary:
formation energy: -0.275 eV per atom
relative energy among the computed polymorphs: 0 meV per atom
calculated volume: 114.4 Å³/cell

The structure in Quantum ESPRESSO input format:
```
&SYSTEM
  ibrav = 0, nat = 5, ntyp = 3
/
ATOMIC_SPECIES
Dy 162.50 Dy.upf
Os 190.23 Os.upf
Ce 140.12 Ce.upf
CELL_PARAMETERS angstrom
-2.574 1.792 2.976
-1.879 -3.900 3.864
2.380 -0.150 5.290
ATOMIC_POSITIONS angstrom
Dy 0.503 -0.318 5.338
Dy -2.576 -1.939 6.792
Os 0.213 -0.935 2.318
Os -2.286 -1.323 9.813
Ce -2.227 -1.054 3.420
```

***

[13]
Material: CeSmNi4
Method: DFT, PBE
State: optimized geometry Values from VASP.

Summary:
formation energy: -0.357 eV per atom
calculated volume: 94.3 Å³/cell

The structure in Quantum ESPRESSO input format:
```
&SYSTEM
  ibrav = 0, nat = 6, ntyp = 3
/
ATOMIC_SPECIES
Sm 150.36 Sm.upf
Ni 58.69 Ni.upf
Ce 140.12 Ce.upf
CELL_PARAMETERS angstrom
5.109 0.000 0.000
2.554 4.424 0.000
2.554 1.475 4.171
ATOMIC_POSITIONS angstrom
Sm 2.554 1.475 1.043
Ni 3.828 3.689 2.609
Ni 5.109 1.471 2.609
Ni 6.390 3.689 2.609
Ni 5.109 2.950 0.517
Ce 0.000 0.000 0.000
```

***

[14]
Material: BaNiP
Method: DFT, PBE
State: optimized geometry Values from VASP.

Summary:
formation energy: 0.708 eV per atom
calculated volume: 91.4 Å³/cell

The structure in Quantum ESPRESSO input format:
```
&SYSTEM
  ibrav = 0, nat = 3, ntyp = 3
/
ATOMIC_SPECIES
Ni 58.69 Ni.upf
P 30.97 P.upf
Ba 137.33 Ba.upf
CELL_PARAMETERS angstrom
0.796 1.865 4.632
1.648 4.746 0.566
-3.088 3.544 1.864
ATOMIC_POSITIONS angstrom
Ni 0.000 0.000 0.000
P -0.322 5.077 3.531
Ba -0.161 2.539 1.765
```

***

[15]
Material: Nd7Er2Sc
Method: DFT, PBE
State: optimized geometry Values from VASP.

Summary:
formation energy: 0.655 eV per atom
calculated volume: 405.4 Å³/cell

The structure in Quantum ESPRESSO input format:
```
&SYSTEM
  ibrav = 0, nat = 10, ntyp = 3
/
ATOMIC_SPECIES
Nd 144.24 Nd.upf
Sc 44.96 Sc.upf
Er 167.26 Er.upf
CELL_PARAMETERS angstrom
-1.458 5.074 -1.061
-6.208 -0.259 7.289
9.142 2.772 0.693
ATOMIC_POSITIONS angstrom
Nd -1.868 2.658 1.615
Nd 6.065 2.164 2.015
Nd 0.014 4.271 6.736
Nd 0.738 3.793 3.460
Nd 3.344 4.928 5.305
Nd -3.131 0.349 5.967
Nd 1.462 3.316 0.184
Sc 0.000 0.000 0.000
Er -2.404 3.173 4.811
Er 3.880 4.414 2.110
```

***

[16]
Material: RbNa3Pd
Method: DFT, PBE
State: optimized geometry Values from VASP.

Summary:
formation energy: 0.029 eV per atom
relative energy among the computed polymorphs: 4 meV per atom
calculated volume: 701.0 Å³/cell

The structure in Quantum ESPRESSO input format:
```
&SYSTEM
  ibrav = 0, nat = 20, ntyp = 3
/
ATOMIC_SPECIES
Na 22.99 Na.upf
Pd 106.42 Pd.upf
Rb 85.47 Rb.upf
CELL_PARAMETERS angstrom
-3.182 -4.638 -4.268
-7.061 -4.286 6.862
-10.004 3.901 0.159
ATOMIC_POSITIONS angstrom
Na -16.362 -1.581 2.125
Na -4.933 -3.136 4.043
Na -14.274 -4.478 0.815
Na -3.885 -3.442 0.629
Na -15.313 -1.887 -1.289
Na -8.391 -0.261 -2.343
Na -6.499 -2.915 -3.834
Na -7.558 -2.880 -0.182
Na -13.748 -2.108 6.588
Na -11.856 -4.761 5.097
Na -12.689 -2.143 2.936
Na -5.973 -0.545 1.939
Pd -7.672 -2.893 2.853
Pd -9.996 -2.557 4.283
Pd -10.250 -2.466 -1.529
Pd -12.574 -2.130 -0.099
Rb -9.714 -0.278 1.565
Rb -8.041 -4.931 5.374
Rb -10.533 -4.745 1.190
Rb -12.205 -0.092 -2.620
```

***

[17]
Material: NaZr2TcO8
Method: DFT, PBE
State: optimized geometry Values from VASP.

Summary:
formation energy without anion corrections: -2.26 eV/atom
calculated volume: 155.7 Å³/cell

The structure in Quantum ESPRESSO input format:
```
&SYSTEM
  ibrav = 0, nat = 12, ntyp = 4
/
ATOMIC_SPECIES
O 16.00 O.upf
Zr 91.22 Zr.upf
Tc 98.00 Tc.upf
Na 22.99 Na.upf
CELL_PARAMETERS angstrom
4.866 0.010 -0.003
0.037 4.857 -0.005
0.004 0.007 6.587
ATOMIC_POSITIONS angstrom
O 3.498 3.479 -0.006
O 0.970 3.915 1.316
O 1.405 1.389 -0.002
O 3.352 3.340 3.288
O 3.934 0.956 1.317
O 1.555 1.534 3.291
O 0.973 3.919 5.262
O 3.937 0.960 5.263
Zr 2.455 2.439 4.867
Zr 2.452 2.436 1.712
Tc 0.000 0.000 0.000
Na 0.002 0.004 3.294
```

***

[18]
Material: Sr4S3Cl
Method: DFT, PBE
State: optimized geometry Values from VASP.

Summary:
formation energy without anion corrections: -2.03 eV/atom
calculated volume: 220.3 Å³/cell

The structure in Quantum ESPRESSO input format:
```
&SYSTEM
  ibrav = 0, nat = 8, ntyp = 3
/
ATOMIC_SPECIES
S 32.06 S.upf
Cl 35.45 Cl.upf
Sr 87.62 Sr.upf
CELL_PARAMETERS angstrom
-2.136 -3.702 0.111
6.393 -3.698 -0.295
2.450 -1.209 6.868
ATOMIC_POSITIONS angstrom
S 0.158 -2.455 3.489
S 0.315 -4.910 6.979
S 2.286 -6.155 3.397
Cl 4.580 -4.909 6.775
Sr 4.394 -4.957 1.591
Sr 0.023 -4.896 1.849
Sr 2.315 -3.651 5.092
Sr 4.549 -7.415 4.945
```

***

[19]
Material: TePb4SeS2
Method: DFT, PBE
State: optimized geometry Values from VASP.

Summary:
formation energy without anion corrections: -0.49 eV/atom
calculated volume: 237.5 Å³/cell

The structure in Quantum ESPRESSO input format:
```
&SYSTEM
  ibrav = 0, nat = 8, ntyp = 4
/
ATOMIC_SPECIES
Se 78.96 Se.upf
Pb 207.20 Pb.upf
Te 127.60 Te.upf
S 32.06 S.upf
CELL_PARAMETERS angstrom
4.379 0.000 0.000
0.000 7.586 -0.148
0.000 2.671 7.098
ATOMIC_POSITIONS angstrom
Se 0.000 5.128 3.475
Pb 4.379 2.445 1.837
Pb 2.190 6.473 1.673
Pb 0.000 7.811 5.114
Pb 2.190 3.783 5.277
Te 2.190 6.463 7.024
S 2.190 1.335 3.549
S 0.000 2.671 7.098
```

***

[20]
Material: ScAl2Sb
Method: DFT, PBE
State: optimized geometry Values from VASP.

Summary:
formation energy without anion corrections: -0.08 eV/atom
calculated volume: 84.6 Å³/cell

The structure in Quantum ESPRESSO input format:
```
&SYSTEM
  ibrav = 0, nat = 4, ntyp = 3
/
ATOMIC_SPECIES
Al 26.98 Al.upf
Sb 121.76 Sb.upf
Sc 44.96 Sc.upf
CELL_PARAMETERS angstrom
-1.649 7.250 5.545
-4.713 6.492 4.656
-3.291 4.908 7.150
ATOMIC_POSITIONS angstrom
Al -0.037 0.072 0.067
Al -7.205 13.920 12.950
Sb -4.796 9.267 8.621
Sc -2.441 4.717 4.388
```